The following is a GGA-PBE calculation of a relaxed Pm2CuNi3As4 crystal, from Alexandria.

## Properties
SG: P-4m2, No. 115
VASP energy in eV per atom: -5.735
Energy of formation in eV/atom: -0.7813
Fermi-level density of states in states/eV per cell: 3.36
Calculated density in g/cm3: 8.11

The structure in extended XYZ format:
```
10
Lattice="4.214 0.000 0.000 0.000 4.214 0.000 0.000 0.000 9.560" Properties=species:S:1:pos:R:3 pbc="T T T"
As 2.107 2.107 0.000
As 2.107 0.000 6.061
As 0.000 0.000 0.000
As 0.000 2.107 3.499
Ni 0.000 0.000 4.780
Ni 0.000 2.107 1.124
Ni 2.107 0.000 8.436
Pm 0.000 2.107 7.174
Pm 2.107 0.000 2.386
Cu 2.107 2.107 4.780
```